# 1
Compound: Pd2Au2I
Source: Alexandria via LeMat-Bulk
Functional: PBE-GGA
Structure: relaxed

a b c (Å): 7.2379 7.2379 3.7736
angles (deg): 90.00 90.00 90.00
Closest atoms and distances in Å follow each position.
Atoms (fractional coordinates):
Pd 0.1494 0.3506 0.0000  2 I 2.76, 6 Au 2.83-2.84, 1 Pd 3.06
Pd 0.3506 0.8506 0.0000  2 I 2.76, 6 Au 2.83-2.84, 1 Pd 3.06
Pd 0.6494 0.1494 0.0000  2 I 2.76, 6 Au 2.83-2.84, 1 Pd 3.06
Pd 0.8506 0.6494 0.0000  2 I 2.76, 6 Au 2.83-2.84, 1 Pd 3.06
Au 0.1446 0.6446 0.5000  6 Pd 2.83-2.84, 1 Au 2.96
Au 0.3554 0.1446 0.5000  6 Pd 2.83-2.84, 1 Au 2.96
Au 0.6446 0.8554 0.5000  6 Pd 2.83-2.84, 1 Au 2.96
Au 0.8554 0.3554 0.5000  6 Pd 2.83-2.84, 1 Au 2.96
I 0.0000 0.0000 0.0000  4 Pd 2.76
I 0.5000 0.5000 0.0000  4 Pd 2.76

Calculated values
offset from the most stable computed form = 0 meV per atom
total magnetic moment = 0.000 μB per cell
ΔE_f (raw) = 129.1 meV/atom



# 2
Compound: Re2WSe
Source: Alexandria via LeMat-Bulk
Functional: PBE-GGA
Structure: relaxed

a b c (Å): 5.1030 5.1030 5.1030
angles (deg): 136.33 136.33 63.48
Closest atoms and distances in Å follow each position.
Atoms (fractional coordinates):
Re 0.0000 0.0000 0.0000  4 W 2.68, 4 Re 2.88, 4 Se 2.88
Re 0.7500 0.2500 0.5000  4 Se 2.68, 4 Re 2.88, 4 W 2.88
W 0.5000 0.5000 0.0000  8 Re 2.68-2.88, 4 Se 2.88
Se 0.2500 0.7500 0.5000  8 Re 2.68-2.88, 4 W 2.88

Calculated values
total magnetic moment = 0.000 μB per cell
ΔE_f (raw) = 794.1 meV/atom



# 3
Compound: TaAgAu2
Source: Alexandria via LeMat-Bulk
Functional: PBE-GGA
Structure: relaxed

a b c (Å): 5.0682 5.0682 2.8201
angles (deg): 90.00 90.00 90.00
Closest atoms and distances in Å follow each position.
Atoms (fractional coordinates):
Ta 0.0000 0.0000 0.0000  2 Ta 2.82, 8 Au 2.90
Ag 0.5000 0.5000 0.0000  2 Ag 2.82, 8 Au 2.90
Au 0.0000 0.5000 0.5000  2 Au 2.82, 4 Ag 2.90, 4 Ta 2.90
Au 0.5000 0.0000 0.5000  2 Au 2.82, 4 Ag 2.90, 4 Ta 2.90

Calculated values
DFT formation energy = 73 meV/atom
total magnetic moment = 0.000 μB per cell



# 4
Compound: CaTbErSc
Source: Alexandria via LeMat-Bulk
Functional: PBE-GGA
Structure: relaxed

a b c (Å): 5.5982 5.5982 5.5982
angles (deg): 60.00 60.00 60.00
Closest atoms and distances in Å follow each position.
Atoms (fractional coordinates):
Ca 0.0000 0.0000 0.0000  4 Tb 3.43, 4 Er 3.43
Tb 0.7500 0.7500 0.7500  4 Ca 3.43, 4 Sc 3.43
Er 0.2500 0.2500 0.2500  4 Ca 3.43, 4 Sc 3.43
Sc 0.5000 0.5000 0.5000  4 Tb 3.43, 4 Er 3.43

Calculated values
DFT formation energy = 180 meV/atom
total magnetic moment = 0.001 μB per cell



# 5
Compound: Tb3PmTm3Se8
Source: Alexandria via LeMat-Bulk
Functional: PBE-GGA
Structure: relaxed

a b c (Å): 8.1013 8.1013 8.1013
angles (deg): 60.00 60.00 60.00
Closest atoms and distances in Å follow each position.
Atoms (fractional coordinates):
Tb 0.0000 0.5000 0.5000  6 Se 2.89
Tb 0.5000 0.0000 0.5000  6 Se 2.89
Tb 0.5000 0.5000 0.0000  6 Se 2.89
Pm 0.5000 0.5000 0.5000  6 Se 2.97
Tm 0.0000 0.0000 0.5000  6 Se 2.84
Tm 0.0000 0.5000 0.0000  6 Se 2.84
Tm 0.5000 0.0000 0.0000  6 Se 2.84
Se 0.2358 0.7594 0.7594  2 Tm 2.84, 2 Tb 2.89, 1 Pm 2.97
Se 0.2406 0.2406 0.7642  2 Tm 2.84, 2 Tb 2.89, 1 Pm 2.97
Se 0.2406 0.7642 0.2406  2 Tm 2.84, 2 Tb 2.89, 1 Pm 2.97
Se 0.2477 0.2477 0.2477  3 Tm 2.84, 3 Tb 2.89
Se 0.7523 0.7523 0.7523  3 Tm 2.84, 3 Tb 2.89
Se 0.7594 0.2358 0.7594  2 Tm 2.84, 2 Tb 2.89, 1 Pm 2.97
Se 0.7594 0.7594 0.2358  2 Tm 2.84, 2 Tb 2.89, 1 Pm 2.97
Se 0.7642 0.2406 0.2406  2 Tm 2.84, 2 Tb 2.89, 1 Pm 2.97

Calculated values
total magnetic moment = 0.000 μB per cell
ΔE_f (raw) = -1810.7 meV/atom



# 6
Compound: NdAlRh2
Source: Alexandria via LeMat-Bulk
Functional: PBE-GGA
Structure: relaxed

a b c (Å): 4.5165 4.5165 3.5093
angles (deg): 90.00 90.00 90.00
Closest atoms and distances in Å follow each position.
Atoms (fractional coordinates):
Nd 0.0000 0.0000 0.0000  8 Rh 2.86, 4 Al 3.19
Al 0.5000 0.5000 0.0000  8 Rh 2.86, 4 Nd 3.19
Rh 0.0000 0.5000 0.5000  4 Al 2.86, 4 Nd 2.86, 4 Rh 3.19
Rh 0.5000 0.0000 0.5000  4 Al 2.86, 4 Nd 2.86, 4 Rh 3.19

Calculated values
DFT formation energy = -682 meV/atom
total magnetic moment = 0.000 μB per cell



# 7
Compound: NaSmHoHg
Source: Alexandria via LeMat-Bulk
Functional: PBE-GGA
Structure: relaxed

a b c (Å): 5.3844 5.3844 5.3844
angles (deg): 60.00 60.00 60.00
Closest atoms and distances in Å follow each position.
Atoms (fractional coordinates):
Na 0.0000 0.0000 0.0000  4 Ho 3.30, 4 Sm 3.30
Sm 0.2500 0.2500 0.2500  4 Hg 3.30, 4 Na 3.30
Ho 0.7500 0.7500 0.7500  4 Hg 3.30, 4 Na 3.30
Hg 0.5000 0.5000 0.5000  4 Ho 3.30, 4 Sm 3.30

Calculated values
DFT formation energy = -48 meV/atom
total magnetic moment = 0.745 μB per cell



# 8
Compound: ZrTa2H2
Source: Alexandria via LeMat-Bulk
Functional: PBE-GGA
Structure: relaxed

a b c (Å): 5.8200 5.8200 5.8200
angles (deg): 145.13 145.13 50.14
Closest atoms and distances in Å follow each position.
Atoms (fractional coordinates):
Zr 0.0000 0.0000 0.0000  8 Ta 3.01, 8 H 3.16
Ta 0.3355 0.3355 0.0000  4 H 1.96
Ta 0.6645 0.6645 0.0000  4 H 1.96
H 0.2500 0.7500 0.5000  4 Ta 1.96
H 0.7500 0.2500 0.5000  4 Ta 1.96

Calculated values
total magnetic moment = 0.000 μB per cell
calculated total energy = -7.863 eV per atom



# 9
Compound: La3NdCl
Source: Alexandria via LeMat-Bulk
Functional: PBE-GGA
Structure: relaxed

a b c (Å): 5.5977 5.5977 5.5977
angles (deg): 90.00 90.00 90.00
Closest atoms and distances in Å follow each position.
Atoms (fractional coordinates):
La 0.0000 0.0000 0.5000  2 Cl 2.80
La 0.0000 0.5000 0.0000  2 Cl 2.80
La 0.5000 0.0000 0.0000  2 Cl 2.80
Nd 0.5000 0.5000 0.5000  12 La 3.96
Cl 0.0000 0.0000 0.0000  6 La 2.80

Calculated values
total magnetic moment = 0.000 μB per cell
ΔE_f (raw) = -561.8 meV/atom



# 10
Compound: PmDy2Ho6
Source: Alexandria via LeMat-Bulk
Functional: PBE-GGA
Structure: relaxed

a b c (Å): 5.6014 3.4636 14.8182
angles (deg): 90.00 100.84 90.00
Closest atoms and distances in Å follow each position.
Atoms (fractional coordinates):
Pm 0.0000 0.0000 0.0000  2 Pm 3.46, 12 Ho 3.68-3.70
Dy 0.3330 0.0000 0.6659  2 Dy 3.46, 12 Ho 3.65-3.67
Dy 0.6670 0.0000 0.3341  2 Dy 3.46, 12 Ho 3.65-3.67
Ho 0.1121 0.5000 0.2245  5 Ho 3.22-3.46
Ho 0.2228 0.5000 0.4455  5 Ho 3.22-3.46
Ho 0.4436 0.5000 0.8873  5 Ho 3.24-3.46
Ho 0.5564 0.5000 0.1127  5 Ho 3.24-3.46
Ho 0.7772 0.5000 0.5545  5 Ho 3.22-3.46
Ho 0.8879 0.5000 0.7755  5 Ho 3.22-3.46

Calculated values
DFT formation energy = 73 meV/atom
offset from the most stable computed form = 53 meV per atom
total magnetic moment = 0.000 μB per cell



# 11
Compound: TeRuW2
Source: Alexandria via LeMat-Bulk
Functional: PBE-GGA
Structure: relaxed

a b c (Å): 3.8009 3.8009 4.6958
angles (deg): 90.00 90.00 90.00
Closest atoms and distances in Å follow each position.
Atoms (fractional coordinates):
Te 0.0000 0.0000 0.0000  4 Ru 2.69
Ru 0.5000 0.5000 0.0000  4 Te 2.69
W 0.0000 0.5000 0.5000  4 W 2.69
W 0.5000 0.0000 0.5000  4 W 2.69

Calculated values
total magnetic moment = 0.000 μB per cell
ΔE_f (raw) = 670.0 meV/atom



# 12
Compound: Ta2HPdRu
Source: Alexandria via LeMat-Bulk
Functional: PBE-GGA
Structure: relaxed

a b c (Å): 4.1094 4.1094 3.9493
angles (deg): 90.00 90.00 90.00
Closest atoms and distances in Å follow each position.
Atoms (fractional coordinates):
Ta 0.0000 0.5000 0.0000  2 H 2.05
Ta 0.5000 0.0000 0.0000  2 H 2.05
H 0.0000 0.0000 0.0000  2 Pd 1.97, 4 Ta 2.05
Pd 0.0000 0.0000 0.5000  2 H 1.97
Ru 0.5000 0.5000 0.5000  8 Ta 2.85, 4 Pd 2.91

Calculated values
offset from the most stable computed form = 27 meV per atom
total magnetic moment = 0.000 μB per cell



Please write out number 9 again, unchanged.
Compound: La3NdCl
Source: Alexandria via LeMat-Bulk
Functional: PBE-GGA
Structure: relaxed

a b c (Å): 5.5977 5.5977 5.5977
angles (deg): 90.00 90.00 90.00
Closest atoms and distances in Å follow each position.
Atoms (fractional coordinates):
La 0.0000 0.0000 0.5000  2 Cl 2.80
La 0.0000 0.5000 0.0000  2 Cl 2.80
La 0.5000 0.0000 0.0000  2 Cl 2.80
Nd 0.5000 0.5000 0.5000  12 La 3.96
Cl 0.0000 0.0000 0.0000  6 La 2.80

Calculated values
total magnetic moment = 0.000 μB per cell
ΔE_f (raw) = -561.8 meV/atom



> Which value of total magnetic moment does entry 12 give?

0.000 μB per cell